Entry from Alexandria: a relaxed structure of YIrPd2 (PBE).

Results
Its distance to the lowest polymorph of the same formula is 0.00 eV per formula unit. The formation energy comes out at -579 meV per atom.

a = 4.062 Å, b = 4.132 Å, c = 4.132 Å
α = 90.00°, β = 90.00°, γ = 90.00°
Sites, in units of the cell vectors:
Pd 0.000 0.500 0.000
Pd 0.000 0.000 0.500
Ir 0.500 0.500 0.500
Y 0.500 0.000 0.000


Entry from Alexandria: a relaxed structure of Y6IrPd2 (PBE).

Results
The formation energy comes out at -596 meV per atom.

a = 8.372 Å, b = 8.372 Å, c = 8.372 Å
α = 108.95°, β = 109.99°, γ = 109.47°
Sites, in units of the cell vectors:
Y 0.293 0.625 0.332
Y 0.707 0.375 0.668
Y 0.816 0.258 0.074
Y 0.913 0.741 0.172
Y 0.184 0.742 0.926
Y 0.087 0.259 0.828
Y 0.569 0.741 0.828
Y 0.816 0.742 0.558
Y 0.293 0.960 0.668
Y 0.707 0.040 0.332
Y 0.431 0.259 0.172
Y 0.184 0.258 0.442
Pd 0.500 0.366 0.866
Pd 0.656 0.000 0.656
Pd 0.500 0.634 0.134
Pd 0.344 0.000 0.344
Ir 0.000 0.000 0.000
Ir 0.000 0.500 0.500


Entry from Alexandria: a relaxed structure of Y5IrPd2 (PBE).

Results
The formation energy comes out at -702 meV per atom.

a = 4.364 Å, b = 7.699 Å, c = 12.016 Å
α = 90.00°, β = 90.00°, γ = 90.00°
Sites, in units of the cell vectors:
Y 0.500 0.678 0.412
Y 0.000 0.341 0.296
Y 0.000 0.659 0.704
Y 0.000 0.841 0.204
Y 0.000 0.500 0.000
Y 0.000 0.000 0.500
Y 0.000 0.159 0.796
Y 0.500 0.178 0.088
Y 0.500 0.822 0.912
Y 0.500 0.322 0.588
Pd 0.500 0.951 0.669
Pd 0.500 0.049 0.331
Pd 0.500 0.549 0.169
Pd 0.500 0.451 0.831
Ir 0.000 0.000 0.000
Ir 0.000 0.500 0.500


Entry from Alexandria: a relaxed structure of YIrPd2 (PBE).

Results
Its distance to the lowest polymorph of the same formula is 0.80 eV per formula unit. The formation energy comes out at -379 meV per atom.

a = 4.651 Å, b = 4.651 Å, c = 4.651 Å
α = 60.00°, β = 60.00°, γ = 60.00°
Sites, in units of the cell vectors:
Pd 0.250 0.250 0.250
Pd 0.750 0.750 0.750
Y 0.000 0.000 0.000
Ir 0.500 0.500 0.500


Entry from Alexandria: a relaxed structure of Y4Ir2Pd (PBE).

Results
The formation energy comes out at -816 meV per atom.

a = 4.866 Å, b = 4.866 Å, c = 8.402 Å
α = 73.17°, β = 73.17°, γ = 60.00°
Sites, in units of the cell vectors:
Ir 0.750 0.750 0.751
Ir 0.250 0.250 0.249
Y 0.377 0.377 0.868
Y 0.873 0.873 0.381
Y 0.623 0.623 0.132
Y 0.127 0.127 0.619
Pd 0.000 0.000 0.000


Entry from Alexandria: a relaxed structure of Y6Ir5Pd (PBE).

Results
The formation energy comes out at -816 meV per atom.

a = 4.804 Å, b = 7.101 Å, c = 7.598 Å
α = 90.00°, β = 71.57°, γ = 90.00°
Sites, in units of the cell vectors:
Ir 0.665 0.000 0.670
Ir 0.667 0.500 0.666
Ir 0.000 0.500 0.000
Ir 0.333 0.500 0.334
Ir 0.335 0.000 0.330
Y 0.831 0.251 0.337
Y 0.169 0.251 0.663
Y 0.169 0.749 0.663
Y 0.500 0.254 0.000
Y 0.831 0.749 0.337
Y 0.500 0.746 0.000
Pd 0.000 0.000 0.000